[1]
Entry from Alexandria: a relaxed CsPrAuS2 crystal (PBE).

Results
Energy, eV/atom: -4.578
Space-group type: No. 13
Energy relative to the elements, uncorrected, kJ/mol of formula units: -552
Size of the total moment, Bohr magnetons per cell: 0.00

a b c (Å): 5.172 8.055 8.129
angles (deg): 101.57 90.00 90.00
Atoms (fractional coordinates):
Cs 0.172 0.500 0.750
Cs 0.828 0.500 0.250
Pr 0.493 0.000 0.250
Pr 0.507 0.000 0.750
Au 0.000 0.000 0.000
Au 0.000 0.000 0.500
S 0.682 0.777 0.958
S 0.682 0.223 0.542
S 0.318 0.777 0.458
S 0.318 0.223 0.042


[2]
Entry from Alexandria: a relaxed CsPrSb2Au2 crystal (PBE).

Results
Energy, eV/atom: -4.135
Space-group type: No. 164
Energy relative to the elements, uncorrected, kJ/mol of formula units: -422
Size of the total moment, Bohr magnetons per cell: 0.00

a b c (Å): 4.737 4.737 10.011
angles (deg): 90.00 90.00 120.00
Atoms (fractional coordinates):
Cs 0.000 0.000 0.000
Pr 0.000 0.000 0.500
Sb 0.667 0.333 0.288
Sb 0.333 0.667 0.712
Au 0.667 0.333 0.679
Au 0.333 0.667 0.321


[3]
Entry from Alexandria: a relaxed CsPrTe3Au crystal (PBE).

Results
Energy, eV/atom: -4.003
Space-group type: No. 63
Energy relative to the elements, uncorrected, kJ/mol of formula units: -548
Size of the total moment, Bohr magnetons per cell: 0.00

a b c (Å): 4.437 9.357 11.559
angles (deg): 90.00 90.00 103.72
Atoms (fractional coordinates):
Cs 0.249 0.498 0.250
Cs 0.751 0.502 0.750
Pr 0.000 0.000 0.500
Pr 0.000 0.000 0.000
Te 0.620 0.240 0.064
Te 0.380 0.760 0.936
Te 0.380 0.760 0.564
Te 0.620 0.240 0.436
Te 0.074 0.147 0.750
Te 0.926 0.853 0.250
Au 0.477 0.953 0.750
Au 0.523 0.047 0.250


[4]
Entry from Alexandria: a relaxed Cs6Pt3Au crystal (PBE).

Results
Energy, eV/atom: -2.663
Space-group type: No. 14
Calculated formation energy, eV/atom: -0.011
Size of the total moment, Bohr magnetons per cell: 0.00

a b c (Å): 6.737 10.119 10.674
angles (deg): 88.95 90.00 90.00
Atoms (fractional coordinates):
Cs 0.942 0.337 0.080
Cs 0.950 0.326 0.422
Cs 0.714 0.166 0.745
Cs 0.286 0.834 0.255
Cs 0.050 0.674 0.578
Cs 0.058 0.663 0.920
Cs 0.558 0.837 0.580
Cs 0.550 0.826 0.922
Cs 0.786 0.666 0.245
Cs 0.214 0.334 0.755
Cs 0.450 0.174 0.078
Cs 0.442 0.163 0.420
Pt 0.387 0.485 0.243
Pt 0.500 0.500 0.000
Pt 0.613 0.515 0.757
Pt 0.113 0.985 0.743
Pt 0.000 0.000 0.500
Pt 0.887 0.015 0.257
Au 0.500 0.500 0.500
Au 0.000 0.000 0.000


[5]
Entry from Alexandria: a relaxed Cs2PtAu crystal (PBE).

Results
Energy, eV/atom: -2.492
Space-group type: No. 225
Calculated formation energy, eV/atom: 0.264
Size of the total moment, Bohr magnetons per cell: 0.88
Excess energy over the best structure of this formula in the dataset, meV per atom: 405

a b c (Å): 6.046 6.046 6.046
angles (deg): 60.00 60.00 60.00
Last column: magnetic moment on the atom in μB.
Atoms (fractional coordinates):
Cs 0.250 0.250 0.250  0.00
Cs 0.750 0.750 0.750  0.00
Au 0.500 0.500 0.500  0.08
Pt 0.000 0.000 0.000  0.66


[6]
Entry from Alexandria: a relaxed Cs2PtAu2 crystal (PBE).

Results
Energy, eV/atom: -2.797
Space-group type: No. 139
Calculated formation energy, eV/atom: 0.064
Size of the total moment, Bohr magnetons per cell: 0.00
Excess energy over the best structure of this formula in the dataset, meV per atom: 122

a b c (Å): 3.885 3.885 11.259
angles (deg): 80.07 80.07 90.00
Atoms (fractional coordinates):
Cs 0.401 0.401 0.199
Cs 0.599 0.599 0.801
Au 0.750 0.250 0.500
Au 0.250 0.750 0.500
Pt 0.000 0.000 0.000


[7]
Entry from Alexandria: a relaxed Cs2PtAu2 crystal (PBE).

Results
Energy, eV/atom: -2.919
Space-group type: No. 127
Calculated formation energy, eV/atom: -0.058
Size of the total moment, Bohr magnetons per cell: 0.00
Excess energy over the best structure of this formula in the dataset, meV per atom: 0

a b c (Å): 7.239 7.239 5.704
angles (deg): 90.00 90.00 90.00
Atoms (fractional coordinates):
Cs 0.179 0.679 0.500
Cs 0.679 0.821 0.500
Cs 0.821 0.321 0.500
Cs 0.321 0.179 0.500
Au 0.355 0.855 0.000
Au 0.855 0.645 0.000
Au 0.645 0.145 0.000
Au 0.145 0.355 0.000
Pt 0.000 0.000 0.000
Pt 0.500 0.500 0.000


[8]
Entry from Alexandria: a relaxed CsPtAu2 crystal (PBE).

Results
Energy, eV/atom: -3.561
Space-group type: No. 166
Calculated formation energy, eV/atom: -0.199
Size of the total moment, Bohr magnetons per cell: 0.00
Excess energy over the best structure of this formula in the dataset, meV per atom: 0

a b c (Å): 4.746 4.746 6.915
angles (deg): 69.93 69.93 60.00
Atoms (fractional coordinates):
Cs 0.500 0.500 0.500
Au 0.324 0.324 0.029
Au 0.676 0.676 0.971
Pt 0.000 0.000 0.000


[9]
Entry from Alexandria: a relaxed Cs2Pt2Au crystal (PBE).

Results
Energy, eV/atom: -3.219
Space-group type: No. 139
Calculated formation energy, eV/atom: 0.194
Size of the total moment, Bohr magnetons per cell: 1.00
Excess energy over the best structure of this formula in the dataset, meV per atom: 397

a b c (Å): 6.923 6.923 6.224
angles (deg): 56.20 56.20 90.00
Last column: magnetic moment on the atom in μB.
Atoms (fractional coordinates):
Cs 0.750 0.250 0.500  0.00
Cs 0.250 0.750 0.500  0.00
Au 0.000 0.000 0.000  0.11
Pt 0.339 0.339 0.323  0.44
Pt 0.661 0.661 0.677  0.44


[10]
Entry from Alexandria: a relaxed Cs8PtAu5 crystal (PBE).

Results
Energy, eV/atom: -2.337
Space-group type: No. 82
Calculated formation energy, eV/atom: -0.247
Size of the total moment, Bohr magnetons per cell: 0.00

a b c (Å): 9.420 9.420 9.420
angles (deg): 109.58 109.25 109.58
Atoms (fractional coordinates):
Cs 0.129 0.740 0.003
Cs 0.997 0.126 0.737
Cs 0.786 0.255 0.386
Cs 0.614 0.400 0.869
Cs 0.469 0.600 0.214
Cs 0.612 0.874 0.871
Cs 0.263 0.260 0.388
Cs 0.131 0.745 0.531
Pt 0.250 0.500 0.750
Au 0.991 0.375 0.122
Au 0.878 0.869 0.252
Au 0.748 0.625 0.616
Au 0.500 0.000 0.500
Au 0.384 0.131 0.009


[11]
Entry from Alexandria: a relaxed CsPt2Au crystal (PBE).

Results
Energy, eV/atom: -3.901
Space-group type: No. 122
Calculated formation energy, eV/atom: 0.153
Size of the total moment, Bohr magnetons per cell: 0.00
Excess energy over the best structure of this formula in the dataset, meV per atom: 0

a b c (Å): 5.098 5.098 9.938
angles (deg): 75.14 75.14 90.00
Atoms (fractional coordinates):
Cs 0.500 0.500 0.000
Cs 0.250 0.750 0.500
Au 0.000 0.000 0.000
Au 0.750 0.250 0.500
Pt 0.827 0.125 0.250
Pt 0.923 0.625 0.250
Pt 0.375 0.173 0.750
Pt 0.875 0.077 0.750


[12]
Entry from Alexandria: a relaxed CsPtAu2 crystal (PBE).

Results
Energy, eV/atom: -2.732
Space-group type: No. 225
Calculated formation energy, eV/atom: 0.631
Size of the total moment, Bohr magnetons per cell: 0.00
Excess energy over the best structure of this formula in the dataset, meV per atom: 829

a b c (Å): 5.163 5.163 5.163
angles (deg): 60.00 60.00 60.00
Atoms (fractional coordinates):
Cs 0.000 0.000 0.000
Au 0.250 0.250 0.250
Au 0.750 0.750 0.750
Pt 0.500 0.500 0.500